1.
11
Lattice="6.005 -5.324 0.000 6.005 5.324 0.000 -0.476 0.000 6.392" Properties=species:S:1:pos:R:3 comment="MgFe2Br8 | OQMD via LeMat-Bulk | PBE-GGA | relaxed" spacegroup="No. 12" final_energy_ev_per_atom=-3.599 pbc="T T T"
Mg 0.000 0.000 0.000
Fe 2.079 0.000 4.094
Fe 9.455 0.000 2.299
Br 4.700 3.475 1.437
Br 2.156 0.000 1.725
Br 6.835 3.475 4.955
Br 4.240 0.000 4.832
Br 7.294 0.000 1.560
Br 4.700 -3.475 1.437
Br 9.378 0.000 4.668
Br 6.835 -3.475 4.955

2.
4
Lattice="0.000 3.062 3.062 3.062 0.000 3.062 3.062 3.062 0.000" Properties=species:S:1:pos:R:3 comment="HfNi2Ge | OQMD via LeMat-Bulk | PBE-GGA | relaxed" spacegroup="No. 216" final_energy_ev_per_atom=-6.746 pbc="T T T"
Hf 0.000 0.000 0.000
Ni 1.531 1.531 1.531
Ni 3.062 3.062 3.062
Ge 4.593 4.593 4.593

3.
3
Lattice="0.000 3.533 3.533 3.533 0.000 3.533 3.533 3.533 0.000" Properties=species:S:1:pos:R:3 comment="RbThNi | OQMD via LeMat-Bulk | PBE-GGA | relaxed" spacegroup="No. 216" final_energy_ev_per_atom=-3.784 pbc="T T T"
Rb 0.000 0.000 0.000
Th 3.533 3.533 3.533
Ni 5.300 5.300 5.300

4.
6
Lattice="3.461 0.000 0.000 -1.730 2.997 0.000 0.000 0.000 8.471" Properties=species:S:1:pos:R:3 comment="Tb2ErN3 | OQMD via LeMat-Bulk | PBE-GGA | relaxed" spacegroup="No. 164" final_energy_ev_per_atom=-8.166 pbc="T T T"
Tb 0.000 1.998 2.809
Tb 1.730 0.999 5.662
Er 0.000 0.000 0.000
N 0.000 0.000 4.236
N 0.000 1.998 7.091
N 1.730 0.999 1.380

5.
3
Lattice="0.000 3.293 3.293 3.293 0.000 3.293 3.293 3.293 0.000" Properties=species:S:1:pos:R:3 comment="TmCdIr | OQMD via LeMat-Bulk | PBE-GGA | relaxed" spacegroup="No. 216" e_form_kj_per_mol_atoms=7.8 pbc="T T T"
Tm 0.000 0.000 0.000
Cd 4.940 4.940 4.940
Ir 1.647 1.647 1.647

6.
14
Lattice="-2.710 3.144 6.707 2.710 -3.144 6.707 2.710 3.144 -6.707" Properties=species:S:1:pos:R:3 comment="CsIrO2F3 | OQMD via LeMat-Bulk | PBE-GGA | relaxed" spacegroup="No. 74" final_energy_ev_per_atom=-5.025 pbc="T T T"
Cs 0.000 1.572 1.885
Cs 2.710 1.572 4.821
Ir 2.710 1.572 -1.757
Ir 0.000 1.572 8.463
O 1.298 1.572 -0.688
O 1.412 -1.572 6.018
O 1.298 4.716 0.688
O 1.412 1.572 7.395
F 1.355 1.572 -3.353
F 1.355 -1.572 3.353
F 2.710 0.366 1.912
F 0.000 0.366 4.795
F 2.710 2.778 1.912
F 0.000 2.778 4.795

7.
12
Lattice="2.261 -8.579 0.000 2.261 8.579 0.000 0.000 0.000 11.836" Properties=species:S:1:pos:R:3 comment="CsDyCdTe3 | OQMD via LeMat-Bulk | PBE-GGA | relaxed" spacegroup="No. 63" final_energy_ev_per_atom=-3.724 pbc="T T T"
Cs 2.261 4.304 8.877
Cs 2.261 -4.304 2.959
Dy 0.000 0.000 0.000
Dy 0.000 0.000 5.918
Cd 2.261 0.658 2.959
Cd 2.261 -0.658 8.877
Te 2.261 7.446 2.959
Te 2.261 2.090 0.535
Te 2.261 2.090 5.383
Te 2.261 -2.090 6.454
Te 2.261 -2.090 11.301
Te 2.261 -7.446 8.877

8.
9
Lattice="3.521 0.000 0.000 0.000 6.047 3.538 0.000 -6.047 3.538" Properties=species:S:1:pos:R:3 comment="HfSc2Al3NiIr2 | OQMD via LeMat-Bulk | PBE-GGA | relaxed" spacegroup="No. 38" final_energy_ev_per_atom=-7.191 pbc="T T T"
Hf 0.000 0.000 0.000
Sc 0.000 -2.447 4.298
Sc 0.000 2.447 4.298
Al 1.761 -1.521 1.990
Al 1.761 1.521 1.990
Al 1.761 0.000 4.581
Ni 0.000 0.000 2.808
Ir 1.761 -4.077 2.875
Ir 1.761 4.077 2.875

9.
30
Lattice="5.694 0.000 0.000 -2.847 4.931 0.000 0.000 0.000 14.125" Properties=species:S:1:pos:R:3 comment="GdTaN2O | OQMD via LeMat-Bulk | PBE-GGA | relaxed" spacegroup="No. 194" final_energy_ev_per_atom=-9.310 pbc="T T T"
Gd 0.000 0.000 3.531
Gd 0.000 0.000 10.594
Gd 0.000 3.287 1.690
Gd 0.000 3.287 5.372
Gd 2.847 1.644 8.753
Gd 2.847 1.644 12.435
Ta 0.000 0.000 0.000
Ta 0.000 0.000 7.062
Ta 0.000 3.287 9.130
Ta 0.000 3.287 12.058
Ta 2.847 1.644 2.067
Ta 2.847 1.644 4.995
N 0.000 1.567 8.347
N 0.000 1.567 12.840
N -1.490 4.147 8.347
N -1.490 4.147 12.840
N 1.357 0.784 1.284
N 1.357 0.784 5.778
N 1.490 4.147 8.347
N 1.490 4.147 12.840
N 4.336 0.784 1.284
N 4.336 0.784 5.778
N 2.847 3.364 1.284
N 2.847 3.364 5.778
O -1.368 2.497 3.531
O 1.368 2.497 3.531
O 0.000 4.867 3.531
O 2.847 0.063 10.594
O 1.478 2.434 10.594
O 4.215 2.434 10.594

10.
6
Lattice="4.145 -1.911 0.000 4.145 1.911 0.000 -2.184 0.000 7.852" Properties=species:S:1:pos:R:3 comment="SmP2 | OQMD via LeMat-Bulk | PBE-GGA | relaxed" spacegroup="No. 12" final_energy_ev_per_atom=-5.969 pbc="T T T"
Sm -0.542 0.000 1.960
Sm 6.647 0.000 5.892
P 1.955 0.000 3.712
P 0.862 0.000 7.638
P 5.243 0.000 0.214
P 4.150 0.000 4.140

11.
20
Lattice="6.111 0.000 0.000 0.000 6.111 0.000 0.000 0.000 6.111" Properties=species:S:1:pos:R:3 comment="Fe | OQMD via LeMat-Bulk | PBE-GGA | relaxed" spacegroup="No. 213" e_form_kj_per_mol_atoms=13.4 de_polymorph_mev_per_atom=139 pbc="T T T"
Fe 0.286 0.764 4.870
Fe 0.384 5.727 2.672
Fe 0.764 4.870 0.286
Fe 1.144 1.144 1.144
Fe 1.242 3.342 2.292
Fe 1.814 2.770 5.348
Fe 1.912 4.968 4.200
Fe 2.292 1.242 3.342
Fe 2.672 0.384 5.727
Fe 2.770 5.348 1.814
Fe 3.342 2.292 1.242
Fe 3.440 3.440 3.440
Fe 3.820 4.298 5.825
Fe 4.200 1.912 4.968
Fe 4.298 5.825 3.820
Fe 4.870 0.286 0.764
Fe 4.968 4.200 1.912
Fe 5.348 1.814 2.770
Fe 5.727 2.672 0.384
Fe 5.825 3.820 4.298

12.
8
Lattice="4.091 0.000 0.000 0.000 6.107 0.000 0.000 0.000 5.636" Properties=species:S:1:pos:R:3 comment="ErTcAsO | OQMD via LeMat-Bulk | PBE-GGA | relaxed" spacegroup="No. 26" de_polymorph_mev_per_atom=527 pbc="T T T"
Er 0.000 1.106 0.000
Er 0.000 5.001 2.818
Tc 2.045 2.870 4.343
Tc 2.045 3.237 1.525
As 0.000 1.901 2.889
As 0.000 4.206 0.071
O 2.045 1.495 0.349
O 2.045 4.612 3.167

13.
4
Lattice="3.158 0.000 0.000 -1.579 2.735 0.000 0.000 0.000 6.370" Properties=species:S:1:pos:R:3 comment="FeS | OQMD via LeMat-Bulk | PBE-GGA | relaxed" spacegroup="No. 194" final_energy_ev_per_atom=-6.214 pbc="T T T"
Fe 0.000 1.823 1.592
Fe 1.579 0.912 4.777
S 0.000 0.000 0.000
S 0.000 0.000 3.185

14.
6
Lattice="5.198 0.000 0.000 0.000 3.035 0.000 -0.053 0.000 5.943" Properties=species:S:1:pos:R:3 comment="Fe2As3Se | OQMD via LeMat-Bulk | PBE-GGA | relaxed" spacegroup="No. 6" final_energy_ev_per_atom=-5.952 pbc="T T T"
Fe 0.000 0.000 0.000
Fe 2.550 1.518 2.953
As 1.592 1.518 5.120
As 3.536 1.518 0.807
As 4.146 0.000 3.842
Se 0.924 0.000 2.164

15.
8
Lattice="4.621 0.000 0.000 0.000 4.621 0.000 0.000 0.000 8.973" Properties=species:S:1:pos:R:3 comment="CdSnAsO | OQMD via LeMat-Bulk | PBE-GGA | relaxed" spacegroup="No. 129" de_polymorph_mev_per_atom=216 pbc="T T T"
Cd 1.155 1.155 0.018
Cd 3.465 3.465 8.955
Sn 1.155 3.465 4.487
Sn 3.465 1.155 4.487
As 1.155 1.155 2.964
As 3.465 3.465 6.009
O 1.155 3.465 0.000
O 3.465 1.155 0.000

16.
12
Lattice="2.126 -6.924 0.000 2.126 6.924 0.000 0.000 0.000 11.335" Properties=species:S:1:pos:R:3 comment="NaNdHgSe3 | OQMD via LeMat-Bulk | PBE-GGA | relaxed" spacegroup="No. 63" de_polymorph_mev_per_atom=0 pbc="T T T"
Na 2.126 3.596 8.501
Na 2.126 -3.596 2.834
Nd 0.000 0.000 0.000
Nd 0.000 0.000 5.667
Hg 2.126 0.477 2.834
Hg 2.126 -0.477 8.501
Se 2.126 5.663 2.834
Se 2.126 1.986 0.674
Se 2.126 1.986 4.993
Se 2.126 -1.986 6.342
Se 2.126 -1.986 10.660
Se 2.126 -5.663 8.501

17.
20
Lattice="-4.193 4.193 4.193 4.193 -4.193 4.193 4.193 4.193 -4.193" Properties=species:S:1:pos:R:3 comment="TlAg7F12 | OQMD via LeMat-Bulk | PBE-GGA | relaxed" spacegroup="No. 204" final_energy_ev_per_atom=-3.402 pbc="T T T"
Tl 0.000 0.000 0.000
Ag 2.096 2.096 -2.096
Ag 2.096 -2.096 2.096
Ag 4.193 0.000 0.000
Ag -2.096 2.096 2.096
Ag 0.000 4.193 0.000
Ag 0.000 0.000 4.193
Ag 2.096 2.096 2.096
F 4.193 -1.633 2.661
F 2.560 1.531 0.000
F 5.826 1.531 0.000
F 2.661 4.193 -1.633
F 1.531 0.000 2.560
F 0.000 2.560 1.531
F 4.193 1.633 2.661
F 2.661 4.193 1.633
F 1.531 0.000 5.826
F -1.633 2.661 4.193
F 1.633 2.661 4.193
F 0.000 5.826 1.531

18.
7
Lattice="5.967 0.000 0.000 0.000 5.967 0.000 0.000 0.000 5.972" Properties=species:S:1:pos:R:3 comment="PrSm2GaBr3 | OQMD via LeMat-Bulk | PBE-GGA | relaxed" spacegroup="No. 123" final_energy_ev_per_atom=-4.482 pbc="T T T"
Pr 0.000 0.000 0.000
Sm 0.000 2.984 2.986
Sm 2.984 0.000 2.986
Ga 0.000 0.000 2.986
Br 0.000 2.984 0.000
Br 2.984 0.000 0.000
Br 2.984 2.984 2.986

19.
9
Lattice="3.937 0.000 0.000 0.000 3.937 0.000 0.000 0.000 9.694" Properties=species:S:1:pos:R:3 comment="Sm2Gd2O5 | OQMD via LeMat-Bulk | PBE-GGA | relaxed" spacegroup="No. 123" de_polymorph_mev_per_atom=0 pbc="T T T"
Sm 0.000 0.000 0.000
Sm 0.000 0.000 4.847
Gd 1.969 1.969 2.362
Gd 1.969 1.969 7.332
O 0.000 1.969 1.415
O 0.000 1.969 8.279
O 1.969 0.000 1.415
O 1.969 0.000 8.279
O 1.969 1.969 4.847

20.
8
Lattice="3.500 0.000 0.000 0.000 5.510 0.000 0.000 0.000 6.734" Properties=species:S:1:pos:R:3 comment="ZrSiPO | OQMD via LeMat-Bulk | PBE-GGA | relaxed" spacegroup="No. 26" de_polymorph_mev_per_atom=54 pbc="T T T"
Zr 0.000 1.270 0.000
Zr 0.000 4.240 3.367
Si 1.750 0.794 3.946
Si 1.750 4.716 0.580
P 0.000 1.523 2.647
P 0.000 3.988 6.014
O 1.750 1.546 5.443
O 1.750 3.964 2.076